Density functional theory data (PBE) for a relaxed KBeIn2 crystal.

Unit cell a=4.666 b=4.611 c=6.687 alpha=90.00 beta=109.61 gamma=90.00
Space group Pm (No. 6)
Symmetry-distinct sites (fractional):
K  0.000  0.000  0.000 [1 per cell]
Be  0.239  0.500  0.476 [1 per cell]
In  0.290  0.000  0.565 [1 per cell]
In  0.698  0.500  0.391 [1 per cell]

Properties
* formation energy: 0.25 eV/atom
* total magnetization: 0.00 Bohr magnetons per cell
* raw total energy: -9.3 eV per cell